Entry from Alexandria: a geometry-optimized Ac3InHg3 structure (PBE).

Summary:
**Formation enthalpy at 0 K**: -344 meV per atom
**Uncorrected energy**: -36.76 eV for the cell shown

a b c (Å): 10.0146 10.0146 5.3684
angles (deg): 90.00 90.00 120.00
Fractional coordinates of all 14 atoms:
Ac  0.0980  0.6624  0.2500
Ac  0.3376  0.4356  0.2500
Ac  0.4356  0.0980  0.7500
Ac  0.5644  0.9020  0.2500
Ac  0.6624  0.5644  0.7500
Ac  0.9020  0.3376  0.7500
In  0.3333  0.6667  0.7500
In  0.6667  0.3333  0.2500
Hg  0.0401  0.8206  0.7500
Hg  0.1794  0.2194  0.7500
Hg  0.2194  0.0401  0.2500
Hg  0.7806  0.9599  0.7500
Hg  0.8206  0.7806  0.2500
Hg  0.9599  0.1794  0.2500

=====

Entry from Alexandria: a geometry-optimized AcIn3Hg4 structure (PBE).

Summary:
**Formation enthalpy at 0 K**: -226 meV per atom
**Uncorrected energy**: -30.68 eV for the cell shown

a b c (Å): 10.3325 8.1683 5.1647
angles (deg): 90.00 90.00 90.00
Fractional coordinates of all 16 atoms:
Ac  0.0000  0.0000  0.0000
Ac  0.5000  0.0000  0.0000
In  0.0000  0.5000  0.0000
In  0.2500  0.0000  0.4995
In  0.2500  0.5000  0.4986
In  0.5000  0.5000  0.0000
In  0.7500  0.0000  0.5005
In  0.7500  0.5000  0.5014
Hg  0.0000  0.2655  0.5000
Hg  0.0000  0.7345  0.5000
Hg  0.2500  0.2654  0.9987
Hg  0.2500  0.7346  0.9987
Hg  0.5000  0.2655  0.5000
Hg  0.5000  0.7345  0.5000
Hg  0.7500  0.2654  0.0013
Hg  0.7500  0.7346  0.0013

=====

Entry from Alexandria: a geometry-optimized Ac4In5Hg2 structure (PBE).

Summary:
**Formation enthalpy at 0 K**: -393 meV per atom
**Uncorrected energy**: -35.06 eV for the cell shown

a b c (Å): 8.3957 3.9614 10.6445
angles (deg): 90.00 94.78 90.00
Fractional coordinates of all 11 atoms:
Ac  0.1793  0.0000  0.3814
Ac  0.2668  0.0000  0.9400
Ac  0.7332  0.0000  0.0600
Ac  0.8207  0.0000  0.6186
In  0.1893  0.5000  0.6601
In  0.4498  0.5000  0.2044
In  0.5000  0.5000  0.5000
In  0.5502  0.5000  0.7956
In  0.8107  0.5000  0.3399
Hg  0.0634  0.5000  0.1371
Hg  0.9366  0.5000  0.8629

=====

Entry from Alexandria: a geometry-optimized AcIn6Hg6 structure (PBE).

Summary:
**Formation enthalpy at 0 K**: -79 meV per atom
**Uncorrected energy**: -23.38 eV for the cell shown

a b c (Å): 8.2748 8.2748 8.2748
angles (deg): 136.28 106.72 89.41
Fractional coordinates of all 13 atoms:
Ac  0.0000  0.0000  0.0000
In  0.0000  0.0000  0.5000
In  0.0000  0.5000  0.0000
In  0.2452  0.5000  0.7452
In  0.5000  0.0000  0.0000
In  0.5000  0.5000  0.5000
In  0.7548  0.5000  0.2548
Hg  0.1626  0.6626  0.5000
Hg  0.3481  0.3481  0.0000
Hg  0.3507  0.0000  0.3507
Hg  0.6493  0.0000  0.6493
Hg  0.6519  0.6519  0.0000
Hg  0.8374  0.3374  0.5000